[1]
SrSnO3 | PBE | relaxed

## Properties
Uncorrected formation energy   -29.09 kcal/mol of atoms
Total energy   -5.3734 eV/atom
M_tot   0.00 Bohr magnetons per cell
D(E_F)   0.1 states/eV/cell
Calculated density   5.31 g/cm³

The structure in CIF format:
```
data_SrSnO3
_chemical_formula_sum 'Sr4 Sn4 O12'
_cell_length_a 4.008
_cell_length_b 13.635
_cell_length_c 5.821
_cell_angle_alpha 90.00
_cell_angle_beta 90.00
_cell_angle_gamma 90.00
_symmetry_space_group_name_H-M 'C m c m'
_symmetry_Int_Tables_number 63
_symmetry_space_group_name_Hall '-C 2c 2'
loop_
_atom_site_label
_atom_site_type_symbol
_atom_site_fract_x
_atom_site_fract_y
_atom_site_fract_z
Sr1 Sr 0.000 0.153 0.250
Sn1 Sn 0.000 0.454 0.250
O1 O 0.000 0.000 0.000
O2 O 0.185 0.188 0.750
```



[2]
SrSn2O4 | PBE | relaxed

## Properties
Uncorrected formation energy   -36.99 kcal/mol of atoms
Total energy   -5.8212 eV/atom
M_tot   0.00 Bohr magnetons per cell
D(E_F)   11.8 states/eV/cell
Calculated density   5.78 g/cm³

The structure in CIF format:
```
data_SrSn2O4
_chemical_formula_sum 'Sr4 Sn8 O16'
_cell_length_a 6.340
_cell_length_b 6.340
_cell_length_c 11.113
_cell_angle_alpha 90.00
_cell_angle_beta 90.00
_cell_angle_gamma 90.00
_symmetry_space_group_name_H-M 'I 41/a'
_symmetry_Int_Tables_number 88
loop_
_symmetry_equiv_pos_as_xyz
'x,y,z'
'-x,-y,-z'
'-y+3/4,x+1/4,z+1/4'
'y+3/4,-x+1/4,-z+1/4'
'-x+1/2,-y,z+1/2'
'x+1/2,y,-z+1/2'
'y+3/4,-x+3/4,z+3/4'
'-y+3/4,x+3/4,-z+3/4'
'x+1/2,y+1/2,z+1/2'
'-x+1/2,-y+1/2,-z+1/2'
'-y+1/4,x+3/4,z+3/4'
'y+1/4,-x+3/4,-z+3/4'
'-x,-y+1/2,z'
'x,y+1/2,-z'
'y+1/4,-x+1/4,z+1/4'
'-y+1/4,x+1/4,-z+1/4'
loop_
_atom_site_label
_atom_site_type_symbol
_atom_site_fract_x
_atom_site_fract_y
_atom_site_fract_z
Sr1 Sr 0.000 0.250 0.125
Sn1 Sn 0.000 0.000 0.500
O1 O 0.158 0.036 0.331
```



[3]
Sr3Sn2O6 | PBE | relaxed

## Properties
Uncorrected formation energy   -49.84 kcal/mol of atoms
Total energy   -6.0523 eV/atom
M_tot   0.00 Bohr magnetons per cell
D(E_F)   3.5 states/eV/cell
Calculated density   5.69 g/cm³

The structure in CIF format:
```
data_Sr3Sn2O6
_chemical_formula_sum 'Sr6 Sn4 O12'
_cell_length_a 4.260
_cell_length_b 4.260
_cell_length_c 19.175
_cell_angle_alpha 90.00
_cell_angle_beta 90.00
_cell_angle_gamma 90.00
_symmetry_space_group_name_H-M 'I 4/m m m'
_symmetry_Int_Tables_number 139
_symmetry_space_group_name_Hall '-I 4 2'
loop_
_atom_site_label
_atom_site_type_symbol
_atom_site_fract_x
_atom_site_fract_y
_atom_site_fract_z
Sr1 Sr 0.000 0.000 0.000
Sr2 Sr 0.000 0.000 0.183
Sn1 Sn 0.000 0.000 0.415
O1 O 0.000 0.000 0.306
O2 O 0.000 0.500 0.089
```



[4]
SrSnO3 | PBE | relaxed

## Properties
Uncorrected formation energy   -50.02 kcal/mol of atoms
Total energy   -6.2808 eV/atom
M_tot   0.00 Bohr magnetons per cell
D(E_F)   0.0 states/eV/cell
Calculated density   6.14 g/cm³

The structure in CIF format:
```
data_SrSnO3
_chemical_formula_sum 'Sr4 Sn4 O12'
_cell_length_a 3.234
_cell_length_b 10.914
_cell_length_c 7.792
_cell_angle_alpha 90.00
_cell_angle_beta 90.00
_cell_angle_gamma 90.00
_symmetry_space_group_name_H-M 'C m c m'
_symmetry_Int_Tables_number 63
_symmetry_space_group_name_Hall '-C 2c 2'
loop_
_atom_site_label
_atom_site_type_symbol
_atom_site_fract_x
_atom_site_fract_y
_atom_site_fract_z
Sr1 Sr 0.000 0.243 0.250
Sn1 Sn 0.000 0.500 0.000
O1 O 0.000 0.126 0.549
O2 O 0.000 0.431 0.750
```



[5]
SrSnO3 | PBE | relaxed

## Properties
Uncorrected formation energy   -49.68 kcal/mol of atoms
Total energy   -6.2660 eV/atom
M_tot   0.00 Bohr magnetons per cell
D(E_F)   0.0 states/eV/cell
Calculated density   5.36 g/cm³

The structure in CIF format:
```
data_SrSnO3
_chemical_formula_sum 'Sr8 Sn8 O24'
_cell_length_a 11.315
_cell_length_b 10.038
_cell_length_c 5.566
_cell_angle_alpha 90.00
_cell_angle_beta 93.76
_cell_angle_gamma 90.00
_symmetry_space_group_name_H-M 'C 1 2/c 1'
_symmetry_Int_Tables_number 15
_symmetry_space_group_name_Hall '-C 2yc'
loop_
_atom_site_label
_atom_site_type_symbol
_atom_site_fract_x
_atom_site_fract_y
_atom_site_fract_z
Sr1 Sr 0.213 0.110 0.281
Sn1 Sn 0.000 0.234 0.750
Sn2 Sn 0.000 0.419 0.250
O1 O 0.097 0.424 0.931
O2 O 0.099 0.285 0.453
O3 O 0.135 0.116 0.866
```



[6]
SrTa2SnO7 | PBE | relaxed

## Properties
Uncorrected formation energy   -60.55 kcal/mol of atoms
Total energy   -8.4528 eV/atom
M_tot   0.00 Bohr magnetons per cell
Calculated density   6.71 g/cm³

The structure in CIF format:
```
data_SrTa2SnO7
_chemical_formula_sum 'Sr2 Ta4 Sn2 O14'
_cell_length_a 3.989
_cell_length_b 3.989
_cell_length_c 21.149
_cell_angle_alpha 90.00
_cell_angle_beta 90.00
_cell_angle_gamma 90.00
_symmetry_space_group_name_H-M 'I -4 m 2'
_symmetry_Int_Tables_number 119
_symmetry_space_group_name_Hall 'I -4 -2'
loop_
_atom_site_label
_atom_site_type_symbol
_atom_site_fract_x
_atom_site_fract_y
_atom_site_fract_z
Sr1 Sr 0.000 0.000 0.000
Ta1 Ta 0.000 0.000 0.401
Sn1 Sn 0.000 0.500 0.250
O1 O 0.000 0.000 0.310
O2 O 0.000 0.000 0.500
O3 O 0.000 0.500 0.092
O4 O 0.000 0.500 0.588
```



[7]
Sr2TcSnO | PBE | relaxed

## Properties
Uncorrected formation energy   13.60 kcal/mol of atoms
Total energy   -3.9482 eV/atom
M_tot   3.78 Bohr magnetons per cell
D(E_F)   5.4 states/eV/cell
Calculated density   3.91 g/cm³

The structure in CIF format:
```
data_Sr2TcSnO
_chemical_formula_sum 'Sr2 Tc1 Sn1 O1'
_cell_length_a 6.423
_cell_length_b 6.423
_cell_length_c 4.201
_cell_angle_alpha 90.00
_cell_angle_beta 90.00
_cell_angle_gamma 90.00
_symmetry_space_group_name_H-M 'P 4/m m m'
_symmetry_Int_Tables_number 123
_symmetry_space_group_name_Hall '-P 4 2'
loop_
_atom_site_label
_atom_site_type_symbol
_atom_site_fract_x
_atom_site_fract_y
_atom_site_fract_z
Sr1 Sr 0.000 0.500 0.000
Tc1 Tc 0.000 0.000 0.500
Sn1 Sn 0.500 0.500 0.000
O1 O 0.500 0.500 0.500
```



[8]
SrTcSnO6 | PBE | relaxed

## Properties
Uncorrected formation energy   -38.71 kcal/mol of atoms
Total energy   -6.7675 eV/atom
M_tot   2.01 Bohr magnetons per cell
D(E_F)   0.5 states/eV/cell
Calculated density   5.31 g/cm³

The structure in CIF format:
```
data_SrTcSnO6
_chemical_formula_sum 'Sr2 Tc2 Sn2 O12'
_cell_length_a 5.009
_cell_length_b 5.009
_cell_length_c 9.977
_cell_angle_alpha 90.00
_cell_angle_beta 90.00
_cell_angle_gamma 90.00
_symmetry_space_group_name_H-M 'P 42 n m'
_symmetry_Int_Tables_number 102
_symmetry_space_group_name_Hall 'P 4n -2n'
loop_
_atom_site_label
_atom_site_type_symbol
_atom_site_fract_x
_atom_site_fract_y
_atom_site_fract_z
Sr1 Sr 0.000 0.000 0.000
Tc1 Tc 0.000 0.000 0.667
Sn1 Sn 0.000 0.000 0.340
O1 O 0.170 0.170 0.518
O2 O 0.217 0.217 0.810
O3 O 0.241 0.241 0.195
```



[9]
SrSnTeO6 | PBE | relaxed

## Properties
Uncorrected formation energy   -41.28 kcal/mol of atoms
Total energy   -6.0763 eV/atom
M_tot   0.00 Bohr magnetons per cell
D(E_F)   0.0 states/eV/cell
Calculated density   5.24 g/cm³

The structure in CIF format:
```
data_SrSnTeO6
_chemical_formula_sum 'Sr2 Sn2 Te2 O12'
_cell_length_a 5.3890
_cell_length_b 5.3890
_cell_length_c 10.8301
_cell_angle_alpha 90.00
_cell_angle_beta 90.00
_cell_angle_gamma 120.00
_symmetry_space_group_name_H-M 'P -3 1 c'
_symmetry_Int_Tables_number 163
_symmetry_space_group_name_Hall '-P 3 2c'
loop_
_atom_site_label
_atom_site_type_symbol
_atom_site_fract_x
_atom_site_fract_y
_atom_site_fract_z
Sr1 Sr 0.0000 0.0000 0.0000
Sn1 Sn 0.3333 0.6667 0.2500
Te1 Te 0.3333 0.6667 0.7500
O1 O 0.0189 0.3852 0.6466
```



[10]
SrSn2TeO8 | PBE | relaxed

## Properties
Uncorrected formation energy   -35.45 kcal/mol of atoms
Total energy   -5.9119 eV/atom
M_tot   0.00 Bohr magnetons per cell
D(E_F)   1.0 states/eV/cell
Calculated density   5.90 g/cm³

The structure in CIF format:
```
data_SrSn2TeO8
_chemical_formula_sum 'Sr1 Sn2 Te1 O8'
_cell_length_a 4.914
_cell_length_b 6.766
_cell_length_c 4.921
_cell_angle_alpha 90.00
_cell_angle_beta 92.50
_cell_angle_gamma 90.00
_symmetry_space_group_name_H-M 'P 1 2/m 1'
_symmetry_Int_Tables_number 10
_symmetry_space_group_name_Hall '-P 2y'
loop_
_atom_site_label
_atom_site_type_symbol
_atom_site_fract_x
_atom_site_fract_y
_atom_site_fract_z
Sr1 Sr 0.000 0.000 0.000
Sn1 Sn 0.500 0.250 0.500
Te1 Te 0.000 0.500 0.000
O1 O 0.197 0.294 0.194
O2 O 0.291 0.500 0.706
O3 O 0.325 0.000 0.671
```



[11]
SrSnTe2O | PBE | relaxed

## Properties
Uncorrected formation energy   8.96 kcal/mol of atoms
Total energy   -2.9967 eV/atom
M_tot   0.00 Bohr magnetons per cell
D(E_F)   17.5 states/eV/cell
Calculated density   3.90 g/cm³

The structure in CIF format:
```
data_SrSnTe2O
_chemical_formula_sum 'Sr1 Sn1 Te2 O1'
_cell_length_a 5.530
_cell_length_b 5.530
_cell_length_c 6.646
_cell_angle_alpha 90.00
_cell_angle_beta 90.00
_cell_angle_gamma 90.00
_symmetry_space_group_name_H-M 'P 4/m m m'
_symmetry_Int_Tables_number 123
_symmetry_space_group_name_Hall '-P 4 2'
loop_
_atom_site_label
_atom_site_type_symbol
_atom_site_fract_x
_atom_site_fract_y
_atom_site_fract_z
Sr1 Sr 0.000 0.000 0.000
Sn1 Sn 0.000 0.000 0.500
Te1 Te 0.000 0.500 0.500
O1 O 0.500 0.500 0.000
```